# 1
This record from Alexandria via LeMat-Bulk describes a relaxed KScBr crystal. The functional is PBE.

```
data_KScBr
_symmetry_space_group_name_H-M 'F m m 2'
_symmetry_Int_Tables_number 42
_symmetry_space_group_name_Hall 'F 2 -2'
_cell_length_a 3.777
_cell_length_b 6.351
_cell_length_c 16.034
_cell_angle_alpha 90.00
_cell_angle_beta 90.00
_cell_angle_gamma 90.00
loop_
_atom_site_label
_atom_site_fract_x
_atom_site_fract_y
_atom_site_fract_z
K1 0.000 0.000 0.000
Sc1 0.000 0.000 0.704
Br1 0.000 0.000 0.333
```

DOS at the Fermi energy   7.31 states/eV per cell
Energy relative to the lowest polymorph listed for this composition   0.079 eV/atom
E_form (uncorrected)   -0.45 eV/atom


# 2
This record from Alexandria via LeMat-Bulk describes a relaxed ScGeIrRh crystal. The functional is PBE.

```
data_ScGeIrRh
_symmetry_space_group_name_H-M 'I -4 m 2'
_symmetry_Int_Tables_number 119
_symmetry_space_group_name_Hall 'I -4 -2'
_cell_length_a 4.187
_cell_length_b 4.187
_cell_length_c 7.019
_cell_angle_alpha 90.00
_cell_angle_beta 90.00
_cell_angle_gamma 90.00
loop_
_atom_site_label
_atom_site_fract_x
_atom_site_fract_y
_atom_site_fract_z
Sc1 0.000 0.000 0.000
Ge1 0.000 0.000 0.500
Ir1 0.000 0.500 0.250
Rh1 0.000 0.500 0.750
```

DOS at the Fermi energy   2.58 states/eV per cell
Energy relative to the lowest polymorph listed for this composition   0.000 eV/atom


# 3
This record from Alexandria via LeMat-Bulk describes a relaxed HoRu2 crystal. The functional is PBE.

```
data_HoRu2
_symmetry_space_group_name_H-M 'P 63/m m c'
_symmetry_Int_Tables_number 194
_symmetry_space_group_name_Hall '-P 6c 2c'
_cell_length_a 5.2444
_cell_length_b 5.2444
_cell_length_c 8.9569
_cell_angle_alpha 90.00
_cell_angle_beta 90.00
_cell_angle_gamma 120.00
loop_
_atom_site_label
_atom_site_fract_x
_atom_site_fract_y
_atom_site_fract_z
Ho1 0.3333 0.6667 0.0670
Ru1 0.0000 0.0000 0.0000
Ru2 0.1706 0.3413 0.7500
```

DOS at the Fermi energy   14.31 states/eV per cell
Calculated total energy   -96.65 eV for the cell shown


# 4
This record from Alexandria via LeMat-Bulk describes a relaxed K2Tl2H4Ir crystal. The functional is PBE.

```
data_K2Tl2H4Ir
_symmetry_space_group_name_H-M 'I 4/m m m'
_symmetry_Int_Tables_number 139
_symmetry_space_group_name_Hall '-I 4 2'
_cell_length_a 6.806
_cell_length_b 6.806
_cell_length_c 8.048
_cell_angle_alpha 90.00
_cell_angle_beta 90.00
_cell_angle_gamma 90.00
loop_
_atom_site_label
_atom_site_fract_x
_atom_site_fract_y
_atom_site_fract_z
K1 0.000 0.500 0.250
Tl1 0.000 0.000 0.175
H1 0.177 0.177 0.500
Ir1 0.000 0.000 0.500
```

DOS at the Fermi energy   8.24 states/eV per cell
Calculated total energy   -59.18 eV for the cell shown


# 5
This record from Alexandria via LeMat-Bulk describes a relaxed HoAgBr6 crystal. The functional is PBE.

```
data_HoAgBr6
_symmetry_space_group_name_H-M 'P -1'
_symmetry_Int_Tables_number 2
_symmetry_space_group_name_Hall '-P 1'
_cell_length_a 5.920
_cell_length_b 7.286
_cell_length_c 7.803
_cell_angle_alpha 69.99
_cell_angle_beta 72.23
_cell_angle_gamma 85.81
loop_
_atom_site_label
_atom_site_fract_x
_atom_site_fract_y
_atom_site_fract_z
Ho1 0.000 0.000 0.000
Ag1 0.500 0.500 0.000
Br1 0.035 0.814 0.355
Br2 0.263 0.364 0.840
Br3 0.412 0.839 0.806
```

E_form (uncorrected)   -0.90 eV/atom


# 6
This record from Alexandria via LeMat-Bulk describes a relaxed HfMgMn3 crystal. The functional is PBE.

```
data_HfMgMn3
_symmetry_space_group_name_H-M 'P m -3 m'
_symmetry_Int_Tables_number 221
_symmetry_space_group_name_Hall '-P 4 2 3'
_cell_length_a 4.516
_cell_length_b 4.516
_cell_length_c 4.516
_cell_angle_alpha 90.00
_cell_angle_beta 90.00
_cell_angle_gamma 90.00
loop_
_atom_site_label
_atom_site_fract_x
_atom_site_fract_y
_atom_site_fract_z
Hf1 0.000 0.000 0.000
Mg1 0.500 0.500 0.500
Mn1 0.000 0.500 0.500
```

DOS at the Fermi energy   7.19 states/eV per cell
Energy relative to the lowest polymorph listed for this composition   0.041 eV/atom


# 7
This record from Alexandria via LeMat-Bulk describes a relaxed Y3ZrI crystal. The functional is PBE.

```
data_Y3ZrI
_symmetry_space_group_name_H-M 'P m -3 m'
_symmetry_Int_Tables_number 221
_symmetry_space_group_name_Hall '-P 4 2 3'
_cell_length_a 5.574
_cell_length_b 5.574
_cell_length_c 5.574
_cell_angle_alpha 90.00
_cell_angle_beta 90.00
_cell_angle_gamma 90.00
loop_
_atom_site_label
_atom_site_fract_x
_atom_site_fract_y
_atom_site_fract_z
Y1 0.000 0.000 0.500
Zr1 0.500 0.500 0.500
I1 0.000 0.000 0.000
```

DOS at the Fermi energy   2.87 states/eV per cell
Energy relative to the lowest polymorph listed for this composition   0.000 eV/atom
E_form (uncorrected)   0.42 eV/atom


# 8
This record from Alexandria via LeMat-Bulk describes a relaxed Co2MoAu crystal. The functional is PBE.

```
data_Co2MoAu
_symmetry_space_group_name_H-M 'P m m m'
_symmetry_Int_Tables_number 47
_symmetry_space_group_name_Hall '-P 2 2'
_cell_length_a 2.745
_cell_length_b 4.467
_cell_length_c 4.713
_cell_angle_alpha 90.00
_cell_angle_beta 90.00
_cell_angle_gamma 90.00
loop_
_atom_site_label
_atom_site_fract_x
_atom_site_fract_y
_atom_site_fract_z
Co1 0.000 0.000 0.000
Co2 0.500 0.000 0.500
Mo1 0.000 0.500 0.500
Au1 0.500 0.500 0.000
```

DOS at the Fermi energy   6.36 states/eV per cell
Calculated total energy   -26.38 eV for the cell shown


# 9
This record from Alexandria via LeMat-Bulk describes a relaxed SmSeO4 crystal. The functional is PBE.

```
data_SmSeO4
_symmetry_space_group_name_H-M 'C 1 m 1'
_symmetry_Int_Tables_number 8
_symmetry_space_group_name_Hall 'C -2y'
_cell_length_a 9.409
_cell_length_b 7.401
_cell_length_c 6.676
_cell_angle_alpha 90.00
_cell_angle_beta 122.33
_cell_angle_gamma 90.00
loop_
_atom_site_label
_atom_site_fract_x
_atom_site_fract_y
_atom_site_fract_z
Sm1 0.000 0.000 0.000
Sm2 0.005 0.500 0.715
Se1 0.453 0.500 0.475
Se2 0.482 0.000 0.196
O1 0.003 0.174 0.681
O2 0.118 0.000 0.430
O3 0.143 0.500 0.476
O4 0.263 0.500 0.964
O5 0.318 0.000 0.232
O6 0.481 0.172 0.032
```

DOS at the Fermi energy   0.00 states/eV per cell
E_form (uncorrected)   -1.89 eV/atom


# 10
This record from Alexandria via LeMat-Bulk describes a relaxed UCo3P3 crystal. The functional is PBE.

```
data_UCo3P3
_symmetry_space_group_name_H-M 'P m -3 n'
_symmetry_Int_Tables_number 223
_symmetry_space_group_name_Hall '-P 4n 2 3'
_cell_length_a 6.015
_cell_length_b 6.015
_cell_length_c 6.015
_cell_angle_alpha 90.00
_cell_angle_beta 90.00
_cell_angle_gamma 90.00
loop_
_atom_site_label
_atom_site_fract_x
_atom_site_fract_y
_atom_site_fract_z
U1 0.000 0.000 0.000
Co1 0.000 0.250 0.500
P1 0.000 0.500 0.250
```

DOS at the Fermi energy   18.94 states/eV per cell
Calculated total energy   -103.15 eV for the cell shown


# 11
This record from Alexandria via LeMat-Bulk describes a relaxed LiCo2Bi2 crystal. The functional is PBE.

```
data_LiCo2Bi2
_symmetry_space_group_name_H-M 'P 4/m b m'
_symmetry_Int_Tables_number 127
_symmetry_space_group_name_Hall '-P 4 2ab'
_cell_length_a 7.353
_cell_length_b 7.353
_cell_length_c 3.440
_cell_angle_alpha 90.00
_cell_angle_beta 90.00
_cell_angle_gamma 90.00
loop_
_atom_site_label
_atom_site_fract_x
_atom_site_fract_y
_atom_site_fract_z
Li1 0.000 0.000 0.000
Co1 0.122 0.378 0.000
Bi1 0.172 0.672 0.500
```

DOS at the Fermi energy   11.36 states/eV per cell
Energy relative to the lowest polymorph listed for this composition   0.022 eV/atom


# 12
This record from Alexandria via LeMat-Bulk describes a relaxed CaZrZn2 crystal. The functional is PBE.

```
data_CaZrZn2
_symmetry_space_group_name_H-M 'P 4 m m'
_symmetry_Int_Tables_number 99
_symmetry_space_group_name_Hall 'P 4 -2'
_cell_length_a 3.203
_cell_length_b 3.203
_cell_length_c 8.412
_cell_angle_alpha 90.00
_cell_angle_beta 90.00
_cell_angle_gamma 90.00
loop_
_atom_site_label
_atom_site_fract_x
_atom_site_fract_y
_atom_site_fract_z
Ca1 0.000 0.000 0.000
Zr1 0.500 0.500 0.659
Zn1 0.000 0.000 0.442
Zn2 0.500 0.500 0.267
```

DOS at the Fermi energy   3.38 states/eV per cell
Calculated total energy   -13.14 eV for the cell shown


# 13
This record from Alexandria via LeMat-Bulk describes a relaxed NbSn3As crystal. The functional is PBE.

```
data_NbSn3As
_symmetry_space_group_name_H-M 'P m -3 m'
_symmetry_Int_Tables_number 221
_symmetry_space_group_name_Hall '-P 4 2 3'
_cell_length_a 5.396
_cell_length_b 5.396
_cell_length_c 5.396
_cell_angle_alpha 90.00
_cell_angle_beta 90.00
_cell_angle_gamma 90.00
loop_
_atom_site_label
_atom_site_fract_x
_atom_site_fract_y
_atom_site_fract_z
Nb1 0.000 0.000 0.000
Sn1 0.000 0.000 0.500
As1 0.500 0.500 0.500
```

DOS at the Fermi energy   7.44 states/eV per cell
Energy relative to the lowest polymorph listed for this composition   0.000 eV/atom


# 14
This record from Alexandria via LeMat-Bulk describes a relaxed RbGaOs2N crystal. The functional is PBE.

```
data_RbGaOs2N
_symmetry_space_group_name_H-M 'P 4/m m m'
_symmetry_Int_Tables_number 123
_symmetry_space_group_name_Hall '-P 4 2'
_cell_length_a 4.030
_cell_length_b 4.030
_cell_length_c 5.581
_cell_angle_alpha 90.00
_cell_angle_beta 90.00
_cell_angle_gamma 90.00
loop_
_atom_site_label
_atom_site_fract_x
_atom_site_fract_y
_atom_site_fract_z
Rb1 0.000 0.000 0.000
Ga1 0.500 0.500 0.000
Os1 0.000 0.500 0.500
N1 0.000 0.000 0.500
```

DOS at the Fermi energy   4.40 states/eV per cell
E_form (uncorrected)   0.99 eV/atom


# 15
This record from Alexandria via LeMat-Bulk describes a relaxed ZnOsRu2 crystal. The functional is PBE.

```
data_ZnOsRu2
_symmetry_space_group_name_H-M 'C m m 2'
_symmetry_Int_Tables_number 35
_symmetry_space_group_name_Hall 'C 2 -2'
_cell_length_a 2.768
_cell_length_b 4.618
_cell_length_c 9.047
_cell_angle_alpha 90.00
_cell_angle_beta 90.00
_cell_angle_gamma 90.00
loop_
_atom_site_label
_atom_site_fract_x
_atom_site_fract_y
_atom_site_fract_z
Zn1 0.000 0.000 0.000
Os1 0.000 0.500 0.252
Ru1 0.000 0.000 0.504
Ru2 0.000 0.500 0.754
```

DOS at the Fermi energy   9.63 states/eV per cell
Calculated total energy   -58.99 eV for the cell shown


# 16
This record from Alexandria via LeMat-Bulk describes a relaxed Ho5TmPb6 crystal. The functional is PBE.

```
data_Ho5TmPb6
_symmetry_space_group_name_H-M 'C 1 2/m 1'
_symmetry_Int_Tables_number 12
_symmetry_space_group_name_Hall '-C 2y'
_cell_length_a 6.108
_cell_length_b 15.358
_cell_length_c 7.633
_cell_angle_alpha 90.00
_cell_angle_beta 103.66
_cell_angle_gamma 90.00
loop_
_atom_site_label
_atom_site_fract_x
_atom_site_fract_y
_atom_site_fract_z
Ho1 0.000 0.000 0.000
Ho2 0.000 0.332 0.000
Ho3 0.000 0.334 0.500
Tm1 0.000 0.000 0.500
Pb1 0.000 0.166 0.252
Pb2 0.003 0.500 0.249
```

DOS at the Fermi energy   15.25 states/eV per cell
Calculated total energy   -109.07 eV for the cell shown


# 17
This record from Alexandria via LeMat-Bulk describes a relaxed SrTa3Ag crystal. The functional is PBE.

```
data_SrTa3Ag
_symmetry_space_group_name_H-M 'P m -3 m'
_symmetry_Int_Tables_number 221
_symmetry_space_group_name_Hall '-P 4 2 3'
_cell_length_a 5.078
_cell_length_b 5.078
_cell_length_c 5.078
_cell_angle_alpha 90.00
_cell_angle_beta 90.00
_cell_angle_gamma 90.00
loop_
_atom_site_label
_atom_site_fract_x
_atom_site_fract_y
_atom_site_fract_z
Sr1 0.000 0.000 0.000
Ta1 0.000 0.500 0.500
Ag1 0.500 0.500 0.500
```

DOS at the Fermi energy   3.56 states/eV per cell
Energy relative to the lowest polymorph listed for this composition   0.000 eV/atom


# 18
This record from Alexandria via LeMat-Bulk describes a relaxed DyThTlTc crystal. The functional is PBE.

```
data_DyThTlTc
_symmetry_space_group_name_H-M 'F -4 3 m'
_symmetry_Int_Tables_number 216
_symmetry_space_group_name_Hall 'F -4 2 3'
_cell_length_a 7.355
_cell_length_b 7.355
_cell_length_c 7.355
_cell_angle_alpha 90.00
_cell_angle_beta 90.00
_cell_angle_gamma 90.00
loop_
_atom_site_label
_atom_site_fract_x
_atom_site_fract_y
_atom_site_fract_z
Dy1 0.000 0.000 0.000
Th1 0.000 0.000 0.500
Tl1 0.250 0.250 0.750
Tc1 0.250 0.250 0.250
```

DOS at the Fermi energy   10.31 states/eV per cell
Calculated total energy   -99.05 eV for the cell shown


# 19
This record from Alexandria via LeMat-Bulk describes a relaxed InAg4Pd crystal. The functional is PBE.

```
data_InAg4Pd
_symmetry_space_group_name_H-M 'C 1 2/m 1'
_symmetry_Int_Tables_number 12
_symmetry_space_group_name_Hall '-C 2y'
_cell_length_a 9.246
_cell_length_b 4.269
_cell_length_c 5.783
_cell_angle_alpha 90.00
_cell_angle_beta 108.89
_cell_angle_gamma 90.00
loop_
_atom_site_label
_atom_site_fract_x
_atom_site_fract_y
_atom_site_fract_z
In1 0.000 0.000 0.000
Ag1 0.165 0.500 0.827
Ag2 0.168 0.500 0.338
Pd1 0.000 0.000 0.500
```

DOS at the Fermi energy   3.46 states/eV per cell
Calculated total energy   -39.78 eV for the cell shown


# 20
This record from Alexandria via LeMat-Bulk describes a relaxed Li2TmMg8 crystal. The functional is PBE.

```
data_Li2TmMg8
_symmetry_space_group_name_H-M 'C 1 2/m 1'
_symmetry_Int_Tables_number 12
_symmetry_space_group_name_Hall '-C 2y'
_cell_length_a 8.172
_cell_length_b 15.861
_cell_length_c 5.308
_cell_angle_alpha 90.00
_cell_angle_beta 130.26
_cell_angle_gamma 90.00
loop_
_atom_site_label
_atom_site_fract_x
_atom_site_fract_y
_atom_site_fract_z
Li1 0.000 0.176 0.000
Tm1 0.000 0.500 0.500
Mg1 0.000 0.298 0.500
Mg2 0.001 0.000 0.755
Mg3 0.234 0.367 0.234
```

DOS at the Fermi energy   12.03 states/eV per cell
Calculated total energy   -40.91 eV for the cell shown